# U2Tl3ZnTe6, relaxed, DFT PBE-GGA
data_U2Tl3ZnTe6
_symmetry_space_group_name_H-M 'C 1 2/m 1'
_symmetry_Int_Tables_number 12
_cell_length_a 7.619
_cell_length_b 13.211
_cell_length_c 8.562
_cell_angle_alpha 90.00
_cell_angle_beta 107.46
_cell_angle_gamma 90.00
loop_
_symmetry_equiv_pos_as_xyz
'x,y,z'
'-x,-y,-z'
'-x,y,-z'
'x,-y,z'
'x+1/2,y+1/2,z'
'-x+1/2,-y+1/2,-z'
'-x+1/2,y+1/2,-z'
'x+1/2,-y+1/2,z'
loop_
_atom_site_label
_atom_site_fract_x
_atom_site_fract_y
_atom_site_fract_z
U1 0.000 0.165 0.000
Tl1 0.000 0.000 0.500
Tl2 0.000 0.327 0.500
Zn1 0.000 0.500 0.000
Te1 0.228 0.339 0.205
Te2 0.246 0.000 0.211
# **Magnetic moment**: 5.021 μB per formula unit
# **Crystal system**: monoclinic
# **V**: 411.08 Å³/f.u.
# **Uncorrected formation energy**: -0.432 eV/atom
# **E_tot**: -4.582 eV/atom